RbCaAs2Br | PBE-GGA | relaxed

E above lowest polymorph ... 799 meV/atom
E_form (uncorrected) ... 0.439 eV/atom
DOS(E_F) ... 1.103 states/eV/atom
Total moment ... 0.1780 μB per atom

a = 5.601 Å, b = 5.601 Å, c = 5.988 Å
α = 90.00°, β = 90.00°, γ = 90.00°
Fractional positions:
1 Rb 0.000 0.000 0.000
2 Ca 0.500 0.500 0.500
3 As 0.000 0.500 0.000
4 As 0.500 0.000 0.000
5 Br 0.000 0.000 0.500